This record from Alexandria describes a geometry-optimized Na2P4S structure. The functional is PBE-GGA.

The energy relative to the elements, uncorrected is 0.616 eV per atom. For the total magnetization, the calculation gives 0.00 μB per formula unit.

Cell lengths 4.5669, 4.5669, 8.1217 Å; angles 73.67, 73.67, 90.00 degrees
Atoms (fractional coordinates):
1 P 0.5000 0.0000 0.0000
2 P 0.8503 0.8503 0.2994
3 Na 0.3491 0.3491 0.3018
4 S 0.0000 0.0000 0.0000
5 P 0.1497 0.1497 0.7006
6 Na 0.6509 0.6509 0.6982
7 P 0.0000 0.5000 0.0000